A plane-wave DFT calculation with PBE-GGA was carried out for crystalline AlTcOsW at its relaxed geometry.

total magnetization: 0.00 Bohr magnetons per cell
space-group type: F-43m
formation energy from the elements: -0.3060 eV/atom

Lattice parameters (Å, degrees): 4.3634 4.3634 4.3634 60.00 60.00 60.00
Fractional positions:
Os 0.7500 0.7500 0.7500
Tc 0.2500 0.2500 0.2500
W 0.0000 0.0000 0.0000
Al 0.5000 0.5000 0.5000